No. 1
10
Lattice="4.4989 0.0000 0.0000 0.0000 4.4989 0.0000 0.0000 0.0000 8.9946" Properties=species:S:1:pos:R:3 comment="Sc6Sn2CN PBE optimized geometry" total_magnetization_mub_per_cell=0.00 dos_ef_per_ev_cell=6.0 sg="No. 123" raw_formation_energy_ev_per_atom=-0.99 pbc="T T T"
Sc 0.0000 0.0000 2.2328
Sc 0.0000 0.0000 6.7618
Sc 0.0000 2.2495 0.0000
Sc 0.0000 2.2495 4.4973
Sc 2.2495 0.0000 0.0000
Sc 2.2495 0.0000 4.4973
Sn 2.2495 2.2495 2.2434
Sn 2.2495 2.2495 6.7511
C 0.0000 0.0000 4.4973
N 0.0000 0.0000 0.0000


No. 2
12
Lattice="5.4832 0.0000 0.0000 -2.7416 4.7486 0.0000 0.0000 0.0000 6.5520" Properties=species:S:1:pos:R:3 comment="Sr3ScC2N6 PBE optimized geometry" total_magnetization_mub_per_cell=0.00 dos_ef_per_ev_cell=4.0 sg="No. 164" raw_formation_energy_ev_per_atom=-0.75 pbc="T T T"
Sr 0.0000 0.0000 0.0000
Sr 0.0000 3.1657 4.4701
Sr 2.7416 1.5829 2.0819
Sc 0.0000 0.0000 3.2760
C 0.0000 3.1657 1.8492
C 2.7416 1.5829 4.7028
N 0.0000 1.7953 1.9043
N -1.1868 3.8509 1.9043
N 1.5548 0.8977 4.6477
N 1.1868 3.8509 1.9043
N 3.9284 0.8977 4.6477
N 2.7416 2.9533 4.6477